! CaHgSb2I (meta-GGA SCAN, single point on PBEsol structure); values from VASP
&SYSTEM
  ibrav = 0, nat = 5, ntyp = 4
/
ATOMIC_SPECIES
Ca 40.08 Ca.upf
Hg 200.59 Hg.upf
Sb 121.76 Sb.upf
I 126.90 I.upf
CELL_PARAMETERS angstrom
5.773 0.000 0.000
0.000 5.796 0.000
0.000 0.000 5.796
ATOMIC_POSITIONS crystal
Ca 0.000 0.000 0.000
Hg 0.500 0.500 0.500
Sb 0.000 0.500 0.000
Sb 0.000 0.000 0.500
I 0.500 0.000 0.000
! Crystal system: tetragonal
! Total moment: 1.808 μB per cell
! SG: P4/mmm, No. 123
! Total energy: -1.38006 hartree per atom
! Formation energy without anion corrections: 0.2652 eV/atom